No. 1
{
  "formula": "ZrZnSeN2",
  "functional": "PBE",
  "state": "relaxed",
  "relative_energy_mev_per_atom": 0,
  "e_tot_ev_per_atom": -5.664,
  "raw_formation_energy_ev_per_atom": 0.33,
  "volume_a3_per_cell": 97,
  "lattice": [[-1.612, -3.174, -2.016], [-0.868, -1.821, 3.560], [-5.195, 2.599, 0.062]],
  "species": ["Zn", "Se", "Zr", "N", "N"],
  "frac_coords": [[0.500, 0.500, 0.500], [0.000, 0.000, 0.500], [0.000, 0.000, 0.000], [0.000, 0.500, 0.000], [0.500, 0.000, 0.000]]
}


No. 2
{
  "formula": "PaCu3Rh4",
  "functional": "PBE",
  "state": "relaxed",
  "e_tot_ev_per_atom": -6.727,
  "volume_a3_per_cell": 238,
  "delta_e_f_kj_per_mol_fu": -254,
  "lattice": [[4.259, 0.000, 0.000], [0.000, 6.551, 0.000], [0.000, 0.000, 8.521]],
  "species": ["Pa", "Pa", "Rh", "Rh", "Rh", "Rh", "Rh", "Rh", "Rh", "Rh", "Cu", "Cu", "Cu", "Cu", "Cu", "Cu"],
  "frac_coords": [[0.000, 0.500, 0.000], [0.000, 0.500, 0.500], [0.500, 0.766, 0.000], [0.500, 0.766, 0.500], [0.500, 0.234, 0.000], [0.500, 0.234, 0.500], [0.000, 0.766, 0.750], [0.000, 0.766, 0.250], [0.000, 0.234, 0.250], [0.000, 0.234, 0.750], [0.000, 0.000, 0.000], [0.000, 0.000, 0.500], [0.500, 0.000, 0.750], [0.500, 0.000, 0.250], [0.500, 0.500, 0.750], [0.500, 0.500, 0.250]]
}


No. 3
{
  "formula": "Pm3Ge4Rh",
  "functional": "PBE",
  "state": "relaxed",
  "e_tot_ev_per_atom": -5.704,
  "volume_a3_per_cell": 179,
  "delta_e_f_kj_per_mol_fu": -536,
  "lattice": [[4.550, 0.000, 0.000], [0.000, 3.924, -0.753], [-2.276, -2.066, 10.412]],
  "species": ["Pm", "Pm", "Pm", "Ge", "Ge", "Ge", "Ge", "Rh"],
  "frac_coords": [[0.000, 0.500, 0.000], [0.158, 0.316, 0.315], [0.842, 0.684, 0.685], [0.406, 0.313, 0.813], [0.594, 0.687, 0.187], [0.721, 0.942, 0.442], [0.279, 0.058, 0.558], [0.500, 0.000, 0.000]]
}


No. 4
{
  "formula": "LiTa2Pd2",
  "functional": "PBE",
  "state": "relaxed",
  "relative_energy_mev_per_atom": 14,
  "e_tot_ev_per_atom": -7.252,
  "volume_a3_per_cell": 176,
  "delta_e_f_kj_per_mol_fu": -24,
  "lattice": [[-0.842, -1.557, -7.712], [-6.883, -3.612, 1.480], [-1.357, 2.444, -0.345]],
  "species": ["Li", "Li", "Pd", "Pd", "Pd", "Pd", "Ta", "Ta", "Ta", "Ta"],
  "frac_coords": [[0.000, 0.000, 0.000], [0.500, 0.500, 0.000], [0.367, 0.867, 0.000], [0.867, 0.633, 0.000], [0.633, 0.133, 0.000], [0.133, 0.367, 0.000], [0.162, 0.662, 0.500], [0.662, 0.838, 0.500], [0.838, 0.338, 0.500], [0.338, 0.162, 0.500]]
}


No. 5
{
  "formula": "RbCrS2",
  "functional": "PBE",
  "state": "relaxed",
  "e_tot_ev_per_atom": -5.436,
  "raw_formation_energy_ev_per_atom": -0.72,
  "volume_a3_per_cell": 439,
  "lattice": [[7.057, 0.000, 0.000], [0.000, 8.925, 0.000], [0.000, 0.000, 6.976]],
  "species": ["Cr", "Cr", "Cr", "Cr", "S", "S", "S", "S", "S", "S", "S", "S", "Rb", "Rb", "Rb", "Rb"],
  "frac_coords": [[0.066, 0.873, 0.000], [0.934, 0.127, 0.500], [0.434, 0.373, 0.500], [0.566, 0.627, 0.000], [0.362, 0.809, 0.000], [0.638, 0.191, 0.500], [0.138, 0.309, 0.500], [0.862, 0.691, 0.000], [0.000, 0.000, 0.750], [0.000, 0.000, 0.250], [0.500, 0.500, 0.250], [0.500, 0.500, 0.750], [0.120, 0.369, 0.000], [0.880, 0.631, 0.500], [0.380, 0.869, 0.500], [0.620, 0.131, 0.000]]
}


No. 6
{
  "formula": "ZrCoTeS2",
  "functional": "PBE",
  "state": "relaxed",
  "e_tot_ev_per_atom": -4.599,
  "raw_formation_energy_ev_per_atom": 0.81,
  "volume_a3_per_cell": 116,
  "lattice": [[-1.163, 4.885, 0.525], [-2.349, -0.142, -3.884], [-4.162, -1.266, 2.563]],
  "species": ["S", "S", "Te", "Co", "Zr"],
  "frac_coords": [[0.000, 0.000, 0.500], [0.500, 0.000, 0.000], [0.000, 0.000, 0.000], [0.000, 0.500, 0.000], [0.500, 0.500, 0.500]]
}


No. 7
{
  "formula": "LiUBr5",
  "functional": "PBE",
  "state": "relaxed",
  "e_tot_ev_per_atom": -4.422,
  "raw_formation_energy_ev_per_atom": -1.34,
  "volume_a3_per_cell": 540,
  "lattice": [[7.484, -1.064, 0.595], [1.366, 7.435, 0.595], [3.920, 2.823, 9.979]],
  "species": ["Li", "Li", "U", "U", "Br", "Br", "Br", "Br", "Br", "Br", "Br", "Br", "Br", "Br"],
  "frac_coords": [[0.379, 0.621, 0.250], [0.621, 0.379, 0.750], [0.000, 0.000, 0.000], [0.000, 0.000, 0.500], [0.750, 0.666, 0.162], [0.208, 0.702, 0.467], [0.666, 0.750, 0.662], [0.926, 0.074, 0.250], [0.298, 0.792, 0.033], [0.702, 0.208, 0.967], [0.074, 0.926, 0.750], [0.334, 0.250, 0.338], [0.792, 0.298, 0.533], [0.250, 0.334, 0.838]]
}


No. 8
{
  "formula": "PmLu2Pb",
  "functional": "PBE",
  "state": "relaxed",
  "relative_energy_mev_per_atom": 66,
  "e_tot_ev_per_atom": -4.562,
  "volume_a3_per_cell": 120,
  "delta_e_f_kj_per_mol_fu": -72,
  "lattice": [[-2.597, -0.181, -2.544], [2.424, -1.306, -2.382], [-1.969, -8.413, 2.609]],
  "species": ["Pb", "Lu", "Lu", "Pm"],
  "frac_coords": [[0.500, 0.500, 0.000], [0.000, 0.000, 0.768], [0.000, 0.000, 0.232], [0.500, 0.500, 0.500]]
}


No. 9
{
  "formula": "PmNdGa",
  "functional": "PBE",
  "state": "relaxed",
  "relative_energy_mev_per_atom": 33,
  "e_tot_ev_per_atom": -4.545,
  "volume_a3_per_cell": 170,
  "delta_e_f_kj_per_mol_fu": -105,
  "lattice": [[3.813, 0.001, 0.000], [-0.001, 5.255, 0.262], [-1.902, -0.420, 8.463]],
  "species": ["Pm", "Pm", "Nd", "Nd", "Ga", "Ga"],
  "frac_coords": [[0.856, 0.525, 0.399], [0.005, 0.026, 0.694], [0.710, 0.025, 0.106], [0.151, 0.525, 0.987], [0.507, 0.527, 0.699], [0.353, 0.025, 0.394]]
}


No. 10
{
  "formula": "AsI",
  "functional": "PBE",
  "state": "relaxed",
  "e_tot_ev_per_atom": -3.103,
  "raw_formation_energy_ev_per_atom": 0.00,
  "volume_a3_per_cell": 362,
  "lattice": [[-3.552, -1.221, -1.139], [4.448, -8.215, -5.069], [2.856, -3.590, 8.324]],
  "species": ["I", "I", "I", "I", "As", "As", "As", "As"],
  "frac_coords": [[0.961, 0.807, 0.213], [0.039, 0.807, 0.787], [0.961, 0.307, 0.713], [0.039, 0.307, 0.287], [0.154, 0.083, 0.403], [0.846, 0.083, 0.597], [0.154, 0.583, 0.903], [0.846, 0.583, 0.097]]
}


No. 11
{
  "formula": "TbPr2NdTm2",
  "functional": "PBE",
  "state": "relaxed",
  "e_tot_ev_per_atom": -4.582,
  "volume_a3_per_cell": 398,
  "delta_e_f_kj_per_mol_fu": 40,
  "lattice": [[-5.011, 1.895, -1.941], [-1.171, -8.359, -5.136], [-3.261, -2.948, 5.542]],
  "species": ["Tb", "Tb", "Pr", "Pr", "Pr", "Pr", "Nd", "Nd", "Tm", "Tm", "Tm", "Tm"],
  "frac_coords": [[0.500, 0.500, 0.000], [0.000, 0.000, 0.500], [0.500, 0.833, 0.252], [0.500, 0.167, 0.748], [0.000, 0.667, 0.752], [0.000, 0.333, 0.248], [0.000, 0.000, 0.000], [0.500, 0.500, 0.500], [0.500, 0.167, 0.250], [0.000, 0.667, 0.250], [0.500, 0.833, 0.750], [0.000, 0.333, 0.750]]
}


No. 12
{
  "formula": "TiPb",
  "functional": "PBE",
  "state": "relaxed",
  "e_tot_ev_per_atom": -5.717,
  "volume_a3_per_cell": 190,
  "delta_e_f_kj_per_mol_fu": 16,
  "lattice": [[3.607, 0.000, -0.011], [0.000, 3.281, 0.000], [-3.550, 0.000, 16.102]],
  "species": ["Pb", "Pb", "Pb", "Pb", "Ti", "Ti", "Ti", "Ti"],
  "frac_coords": [[0.598, 0.000, 0.098], [0.402, 0.000, 0.902], [0.598, 0.500, 0.598], [0.402, 0.500, 0.402], [0.206, 0.000, 0.705], [0.794, 0.000, 0.295], [0.206, 0.500, 0.205], [0.794, 0.500, 0.795]]
}


No. 13
{
  "formula": "SmDy6Tl2",
  "functional": "PBE",
  "state": "relaxed",
  "relative_energy_mev_per_atom": 694,
  "e_tot_ev_per_atom": -3.569,
  "volume_a3_per_cell": 334,
  "delta_e_f_kj_per_mol_fu": 477,
  "lattice": [[-1.418, 5.184, -1.678], [-3.779, -2.185, -3.556], [-4.751, -1.068, 10.162]],
  "species": ["Sm", "Dy", "Dy", "Dy", "Dy", "Dy", "Dy", "Tl", "Tl"],
  "frac_coords": [[0.500, 0.500, 0.000], [0.873, 0.261, 0.134], [0.739, 0.739, 0.866], [0.261, 0.873, 0.134], [0.127, 0.127, 0.866], [0.750, 0.250, 0.500], [0.250, 0.750, 0.500], [0.191, 0.191, 0.381], [0.809, 0.809, 0.619]]
}


No. 14
{
  "formula": "DyHo3Ga",
  "functional": "PBE",
  "state": "relaxed",
  "e_tot_ev_per_atom": -4.338,
  "volume_a3_per_cell": 306,
  "delta_e_f_kj_per_mol_fu": -32,
  "lattice": [[0.145, -4.038, -6.159], [-5.965, -2.182, 3.730], [-0.797, 7.334, -0.720]],
  "species": ["Dy", "Dy", "Ho", "Ho", "Ho", "Ho", "Ho", "Ho", "Ga", "Ga"],
  "frac_coords": [[0.703, 0.067, 0.771], [0.297, 0.933, 0.229], [0.843, 0.027, 0.254], [0.227, 0.411, 0.254], [0.773, 0.589, 0.746], [0.725, 0.446, 0.170], [0.157, 0.973, 0.746], [0.275, 0.554, 0.830], [0.631, 0.755, 0.386], [0.369, 0.245, 0.614]]
}


No. 15
{
  "formula": "Ba2SrSe",
  "functional": "PBE",
  "state": "relaxed",
  "relative_energy_mev_per_atom": 425,
  "e_tot_ev_per_atom": -2.754,
  "raw_formation_energy_ev_per_atom": -0.50,
  "volume_a3_per_cell": 165,
  "lattice": [[5.992, 0.000, 0.000], [0.000, 5.992, 0.000], [0.000, 0.000, 4.600]],
  "species": ["Ba", "Ba", "Se", "Sr"],
  "frac_coords": [[0.000, 0.000, 0.000], [0.500, 0.500, 0.000], [0.500, 0.000, 0.500], [0.000, 0.500, 0.500]]
}


No. 16
{
  "formula": "BeZnPCl2",
  "functional": "PBE",
  "state": "relaxed",
  "relative_energy_mev_per_atom": 529,
  "e_tot_ev_per_atom": -2.247,
  "raw_formation_energy_ev_per_atom": 0.57,
  "volume_a3_per_cell": 112,
  "lattice": [[4.715, 0.000, 0.000], [0.000, 4.715, 0.000], [0.000, 0.000, 5.034]],
  "species": ["P", "Zn", "Be", "Cl", "Cl"],
  "frac_coords": [[0.000, 0.000, 0.500], [0.000, 0.000, 0.000], [0.500, 0.500, 0.500], [0.000, 0.500, 0.000], [0.500, 0.000, 0.000]]
}


No. 17
{
  "formula": "Sr2Cd6InPd",
  "functional": "PBE",
  "state": "relaxed",
  "e_tot_ev_per_atom": -1.923,
  "volume_a3_per_cell": 560,
  "delta_e_f_kj_per_mol_fu": -235,
  "lattice": [[-1.460, -6.996, -0.890], [1.946, -4.756, 5.047], [-10.808, -2.353, 7.089]],
  "species": ["Sr", "Sr", "Sr", "Sr", "Cd", "Cd", "Cd", "Cd", "Cd", "Cd", "Cd", "Cd", "Cd", "Cd", "Cd", "Cd", "In", "In", "Pd", "Pd"],
  "frac_coords": [[0.895, 0.895, 0.315], [0.105, 0.105, 0.685], [0.721, 0.721, 0.838], [0.279, 0.279, 0.162], [0.928, 0.328, 0.416], [0.328, 0.928, 0.416], [0.328, 0.328, 0.416], [0.072, 0.672, 0.584], [0.672, 0.072, 0.584], [0.672, 0.672, 0.584], [0.643, 0.223, 0.911], [0.223, 0.643, 0.911], [0.223, 0.223, 0.911], [0.357, 0.777, 0.089], [0.777, 0.357, 0.089], [0.777, 0.777, 0.089], [0.573, 0.573, 0.280], [0.427, 0.427, 0.720], [0.000, 0.000, 0.000], [0.500, 0.500, 0.500]]
}


No. 18
{
  "formula": "Ba3Si2P4",
  "functional": "PBE",
  "state": "relaxed",
  "e_tot_ev_per_atom": -4.974,
  "raw_formation_energy_ev_per_atom": -0.72,
  "volume_a3_per_cell": 498,
  "lattice": [[7.112, 0.258, -0.010], [-0.289, 7.811, -4.205], [0.577, -0.155, 9.041]],
  "species": ["Ba", "Ba", "Ba", "Ba", "Ba", "Ba", "Si", "Si", "Si", "Si", "P", "P", "P", "P", "P", "P", "P", "P"],
  "frac_coords": [[0.050, 0.746, 0.747], [0.450, 0.999, 0.253], [0.950, 0.254, 0.253], [0.550, 0.001, 0.747], [0.750, 0.509, 0.000], [0.250, 0.491, 0.000], [0.501, 0.538, 0.384], [0.999, 0.154, 0.616], [0.499, 0.462, 0.616], [0.001, 0.846, 0.384], [0.506, 0.706, 0.859], [0.994, 0.847, 0.141], [0.494, 0.294, 0.141], [0.006, 0.153, 0.859], [0.805, 0.657, 0.426], [0.695, 0.231, 0.574], [0.195, 0.343, 0.574], [0.305, 0.769, 0.426]]
}


No. 19
{
  "formula": "MgCoAg2",
  "functional": "PBE",
  "state": "relaxed",
  "e_tot_ev_per_atom": -3.161,
  "volume_a3_per_cell": 143,
  "delta_e_f_kj_per_mol_fu": 170,
  "lattice": [[-2.215, 2.750, 1.578], [-2.311, -0.082, -3.101], [-7.633, -5.391, 3.419]],
  "species": ["Mg", "Mg", "Co", "Co", "Ag", "Ag", "Ag", "Ag"],
  "frac_coords": [[0.500, 0.500, 0.000], [0.250, 0.750, 0.500], [0.000, 0.000, 0.000], [0.750, 0.250, 0.500], [0.631, 0.125, 0.250], [0.119, 0.625, 0.250], [0.375, 0.369, 0.750], [0.875, 0.881, 0.750]]
}


No. 20
{
  "formula": "Sb",
  "functional": "PBE",
  "state": "relaxed",
  "relative_energy_mev_per_atom": 324,
  "e_tot_ev_per_atom": -3.799,
  "raw_formation_energy_ev_per_atom": 0.32,
  "volume_a3_per_cell": 86,
  "lattice": [[-4.138, -1.823, 2.023], [-1.654, -4.471, -1.348], [0.258, -3.797, 3.172]],
  "species": ["Sb", "Sb"],
  "frac_coords": [[0.000, 0.000, 0.000], [0.750, 0.750, 0.750]]
}


No. 21
{
  "formula": "HoIn2SnS4",
  "functional": "PBE",
  "state": "relaxed",
  "e_tot_ev_per_atom": -4.677,
  "raw_formation_energy_ev_per_atom": -0.86,
  "volume_a3_per_cell": 199,
  "lattice": [[3.989, 0.000, 0.000], [0.000, 7.286, -0.235], [0.000, 2.480, 6.771]],
  "species": ["Ho", "In", "In", "Sn", "S", "S", "S", "S"],
  "frac_coords": [[0.000, 0.500, 0.500], [0.000, 0.000, 0.000], [0.500, 0.000, 0.500], [0.500, 0.500, 0.000], [0.000, 0.736, 0.735], [0.000, 0.264, 0.265], [0.500, 0.718, 0.278], [0.500, 0.282, 0.722]]
}


No. 22
{
  "formula": "NaBe2H6",
  "functional": "PBE",
  "state": "relaxed",
  "relative_energy_mev_per_atom": 0,
  "e_tot_ev_per_atom": -3.185,
  "volume_a3_per_cell": 167,
  "lattice": [[3.818, 0.051, 0.050], [1.215, 6.728, -1.307], [1.215, -1.089, 6.767]],
  "species": ["Na", "Na", "Be", "Be", "Be", "Be", "H", "H", "H", "H", "H", "H", "H", "H", "H", "H", "H", "H"],
  "frac_coords": [[0.250, 0.231, 0.769], [0.750, 0.769, 0.231], [0.257, 0.704, 0.799], [0.243, 0.201, 0.296], [0.743, 0.296, 0.201], [0.757, 0.799, 0.704], [0.602, 0.617, 0.625], [0.898, 0.375, 0.383], [0.398, 0.383, 0.375], [0.102, 0.625, 0.617], [0.742, 0.930, 0.586], [0.758, 0.414, 0.070], [0.258, 0.070, 0.414], [0.242, 0.586, 0.930], [0.419, 0.880, 0.881], [0.081, 0.119, 0.120], [0.581, 0.120, 0.119], [0.919, 0.881, 0.880]]
}


No. 23
{
  "formula": "Gd2PF",
  "functional": "PBE",
  "state": "relaxed",
  "e_tot_ev_per_atom": -10.846,
  "raw_formation_energy_ev_per_atom": -1.99,
  "volume_a3_per_cell": 106,
  "lattice": [[4.019, 0.000, 0.000], [2.010, 3.481, 0.000], [2.010, 1.160, 7.548]],
  "species": ["P", "Gd", "Gd", "F"],
  "frac_coords": [[0.500, 0.500, 0.500], [0.099, 0.099, 0.703], [0.901, 0.901, 0.297], [0.000, 0.000, 0.000]]
}